Record 1
# ThNp2PaSb4

Crystalline ThNp2PaSb4 at its relaxed geometry (GGA-PBE, Alexandria via LeMat-Bulk).

Electronic total energy: -7.863 eV per atom
Total magnetic moment: 1.205 μB per atom
Theoretical density: 9.6 g/cm3

abc: 7.5998 4.4483 7.7061
angles: 90.00 109.75 90.00
Space group P2/m (No. 10)
Asymmetric unit:
1 Th 0.0000 0.0000 0.0000 x1
2 Np 0.5000 0.0000 0.5000 x1
3 Np 0.5000 0.5000 0.0000 x1
4 Pa 0.0000 0.5000 0.5000 x1
5 Sb 0.2512 0.0000 0.7460 x2
6 Sb 0.2545 0.5000 0.2562 x2

---

Record 2
# Np2UPaSb4

Crystalline Np2UPaSb4 at its relaxed geometry (GGA-PBE, Alexandria via LeMat-Bulk).

Electronic total energy: -8.136 eV per atom
Total magnetic moment: 0.314 μB per atom
Theoretical density: 10.0 g/cm3

abc: 7.5752 4.3733 7.6099
angles: 90.00 109.41 90.00
Space group P2/m (No. 10)
Asymmetric unit:
1 Np 0.0000 0.0000 0.0000 x1
2 Np 0.5000 0.5000 0.0000 x1
3 U 0.0000 0.5000 0.5000 x1
4 Pa 0.5000 0.0000 0.5000 x1
5 Sb 0.2503 0.0000 0.7491 x2
6 Sb 0.2506 0.5000 0.2518 x2

---

Record 3
# Np6PaSe12

Crystalline Np6PaSe12 at its relaxed geometry (GGA-PBE, Alexandria via LeMat-Bulk).

Electronic total energy: -7.941 eV per atom
Total magnetic moment: 1.211 μB per atom
Theoretical density: 8.0 g/cm3

abc: 12.5918 12.5918 11.7602
angles: 90.00 90.00 120.00
Space group R-3 (No. 148, hexagonal axes)
Asymmetric unit:
1 Np 0.0462 0.7773 0.1399 x18
2 Pa 0.0000 0.0000 0.5000 x3
3 Se 0.0324 0.8169 0.8933 x18
4 Se 0.0508 0.8426 0.3798 x18

---

Record 4
# Np4PaSe5

Crystalline Np4PaSe5 at its relaxed geometry (GGA-PBE, Alexandria via LeMat-Bulk).

Electronic total energy: -8.955 eV per atom
Total magnetic moment: 1.716 μB per atom
Theoretical density: 10.8 g/cm3

abc: 4.0865 5.7805 20.4079
angles: 90.00 90.00 90.00
Space group Immm (No. 71)
Asymmetric unit:
1 Np 0.0000 0.0000 0.0992 x4
2 Np 0.0000 0.0000 0.3010 x4
3 Pa 0.0000 0.0000 0.5000 x2
4 Se 0.0000 0.5000 0.1006 x4
5 Se 0.0000 0.5000 0.2998 x4
6 Se 0.0000 0.5000 0.5000 x2

---

> total magnetic moment of number 2 (Np2UPaSb4)?

0.314 μB per atom

---

Copy entry 4 word for word.
# Np4PaSe5

Crystalline Np4PaSe5 at its relaxed geometry (GGA-PBE, Alexandria via LeMat-Bulk).

Electronic total energy: -8.955 eV per atom
Total magnetic moment: 1.716 μB per atom
Theoretical density: 10.8 g/cm3

abc: 4.0865 5.7805 20.4079
angles: 90.00 90.00 90.00
Space group Immm (No. 71)
Asymmetric unit:
1 Np 0.0000 0.0000 0.0992 x4
2 Np 0.0000 0.0000 0.3010 x4
3 Pa 0.0000 0.0000 0.5000 x2
4 Se 0.0000 0.5000 0.1006 x4
5 Se 0.0000 0.5000 0.2998 x4
6 Se 0.0000 0.5000 0.5000 x2

---

Please write out number 4 again, unchanged.
# Np4PaSe5

Crystalline Np4PaSe5 at its relaxed geometry (GGA-PBE, Alexandria via LeMat-Bulk).

Electronic total energy: -8.955 eV per atom
Total magnetic moment: 1.716 μB per atom
Theoretical density: 10.8 g/cm3

abc: 4.0865 5.7805 20.4079
angles: 90.00 90.00 90.00
Space group Immm (No. 71)
Asymmetric unit:
1 Np 0.0000 0.0000 0.0992 x4
2 Np 0.0000 0.0000 0.3010 x4
3 Pa 0.0000 0.0000 0.5000 x2
4 Se 0.0000 0.5000 0.1006 x4
5 Se 0.0000 0.5000 0.2998 x4
6 Se 0.0000 0.5000 0.5000 x2

---

> Which formula does entry 2 have?

Np2UPaSb4